Material: MnInNiRh
Method: DFT, PBE
State: relaxed

Values from the calculation:
Space-group type ... F-43m (216)
Formation energy ... -0.20 eV per atom

a b c (Å): 4.3871 4.3871 4.3871
angles (deg): 60.00 60.00 60.00
Closest atoms and distances in Å follow each position.
Element x y z (fractional)
1 Mn 0.0000 0.0000 0.0000  4 Rh 2.69, 4 Ni 2.69
2 In 0.5000 0.5000 0.5000  4 Rh 2.69, 4 Ni 2.69
3 Ni 0.2500 0.2500 0.2500  4 Mn 2.69, 4 In 2.69
4 Rh 0.7500 0.7500 0.7500  4 In 2.69, 4 Mn 2.69

Material: Ta2MnInNi
Method: DFT, PBE
State: relaxed

Values from the calculation:
Space-group type ... P4/mmm (123)
Formation energy ... 0.68 eV per atom

a b c (Å): 4.6137 4.6137 4.5025
angles (deg): 90.00 90.00 90.00
Closest atoms and distances in Å follow each position.
Element x y z (fractional)
1 Ta 0.0000 0.5000 0.0000  2 Ni 2.31
2 Ta 0.5000 0.0000 0.0000  2 Ni 2.31
3 Mn 0.0000 0.0000 0.5000  2 Ni 2.25
4 In 0.5000 0.5000 0.5000  8 Ta 3.22, 4 Mn 3.26
5 Ni 0.0000 0.0000 0.0000  2 Mn 2.25, 4 Ta 2.31

What is the formation energy in the second record? 0.68 eV per atom

Which of these has the lowest formation energy? MnInNiRh

What did the first record say?
Material: MnInNiRh
Method: DFT, PBE
State: relaxed

Values from the calculation:
Space-group type ... F-43m (216)
Formation energy ... -0.20 eV per atom

a b c (Å): 4.3871 4.3871 4.3871
angles (deg): 60.00 60.00 60.00
Closest atoms and distances in Å follow each position.
Element x y z (fractional)
1 Mn 0.0000 0.0000 0.0000  4 Rh 2.69, 4 Ni 2.69
2 In 0.5000 0.5000 0.5000  4 Rh 2.69, 4 Ni 2.69
3 Ni 0.2500 0.2500 0.2500  4 Mn 2.69, 4 In 2.69
4 Rh 0.7500 0.7500 0.7500  4 In 2.69, 4 Mn 2.69

formation energy of number 2 (Ta2MnInNi)? 0.68 eV per atom